No. 1
VASP calculation (PBE) on crystalline Sm6Ir2SeS3 at its relaxed geometry.

Unit cell a=9.2543 b=9.2543 c=8.4105 alpha=104.96 beta=104.96 gamma=25.15
Atoms (fractional coordinates):
Sm (0.0081, 0.0081, 0.2635)
Sm (0.3271, 0.3271, 0.8930)
Sm (0.3317, 0.3317, 0.4159)
Sm (0.6683, 0.6683, 0.5841)
Sm (0.6729, 0.6729, 0.1070)
Sm (0.9919, 0.9919, 0.7365)
Ir (0.1692, 0.1692, 0.3413)
Ir (0.8308, 0.8308, 0.6587)
Se (0.5000, 0.5000, 0.0000)
S (0.1596, 0.1596, 0.8429)
S (0.5000, 0.5000, 0.5000)
S (0.8404, 0.8404, 0.1571)

Calculated values
- calculated density (Mg/m³) = 8.2
- SG = C2/m (12)
- M_tot (μB/f.u.) = 0.0
- formation energy (no corrections) (kJ per mole of atoms) = -146

No. 2
VASP calculation (PBE) on crystalline NbSIF2 at its relaxed geometry.

Unit cell a=4.2629 b=4.2629 c=4.9375 alpha=90.00 beta=90.00 gamma=90.00
Atoms (fractional coordinates):
Nb (0.0000, 0.0000, 0.0000)
S (0.0000, 0.0000, 0.5000)
I (0.5000, 0.5000, 0.5000)
F (0.0000, 0.5000, 0.0000)
F (0.5000, 0.0000, 0.0000)

Calculated values
- calculated density (Mg/m³) = 5.4
- SG = P4/mmm (123)
- M_tot (μB/f.u.) = 0.0
- formation energy (no corrections) (kJ per mole of atoms) = -128

No. 3
VASP calculation (PBE) on crystalline AgHgRh3 at its relaxed geometry.

Unit cell a=4.8419 b=4.8419 c=4.8419 alpha=90.00 beta=90.00 gamma=90.00
Atoms (fractional coordinates):
Ag (0.0000, 0.0000, 0.0000)
Hg (0.5000, 0.5000, 0.5000)
Rh (0.0000, 0.0000, 0.5000)
Rh (0.0000, 0.5000, 0.0000)
Rh (0.5000, 0.0000, 0.0000)

Calculated values
- formation energy from the elements (meV/atom) = 1605
- calculated density (Mg/m³) = 9.0
- SG = Pm-3m (221)
- M_tot (μB/f.u.) = 2.6
- E above lowest polymorph (eV/atom) = 0.000

No. 4
VASP calculation (PBE) on crystalline Rb2HOF at its relaxed geometry.

Unit cell a=4.0744 b=5.8263 c=8.8617 alpha=90.00 beta=93.25 gamma=90.00
Atoms (fractional coordinates):
Rb (0.1656, 0.2500, 0.1588)
Rb (0.2493, 0.2500, 0.6124)
Rb (0.7507, 0.7500, 0.3876)
Rb (0.8344, 0.7500, 0.8412)
H (0.4040, 0.7500, 0.0996)
H (0.5960, 0.2500, 0.9004)
O (0.1929, 0.7500, 0.1458)
O (0.8071, 0.2500, 0.8542)
F (0.2836, 0.7500, 0.6189)
F (0.7164, 0.2500, 0.3811)

Calculated values
- E_tot (eV per atom) = -4.25
- calculated density (Mg/m³) = 3.3
- SG = P2_1/m (11)
- M_tot (μB/f.u.) = 0.1

No. 5
VASP calculation (PBE) on crystalline SmDy4Ho6 at its relaxed geometry.

Unit cell a=5.5736 b=5.5736 c=25.5836 alpha=90.00 beta=90.00 gamma=118.81
Atoms (fractional coordinates):
Sm (0.1827, 0.8173, 0.7500)
Sm (0.8173, 0.1827, 0.2500)
Dy (0.1585, 0.8415, 0.0422)
Dy (0.1585, 0.8415, 0.4578)
Dy (0.4743, 0.5257, 0.1212)
Dy (0.4743, 0.5257, 0.3788)
Dy (0.5257, 0.4743, 0.6212)
Dy (0.5257, 0.4743, 0.8788)
Dy (0.8415, 0.1585, 0.5422)
Dy (0.8415, 0.1585, 0.9578)
Ho (0.1464, 0.8536, 0.1811)
Ho (0.1464, 0.8536, 0.3189)
Ho (0.1873, 0.8127, 0.6030)
Ho (0.1873, 0.8127, 0.8970)
Ho (0.4833, 0.5167, 0.2500)
Ho (0.5000, 0.5000, 0.0000)
Ho (0.5000, 0.5000, 0.5000)
Ho (0.5167, 0.4833, 0.7500)
Ho (0.8127, 0.1873, 0.1030)
Ho (0.8127, 0.1873, 0.3970)
Ho (0.8536, 0.1464, 0.6811)
Ho (0.8536, 0.1464, 0.8189)

Calculated values
- formation energy from the elements (meV/atom) = 125
- calculated density (Mg/m³) = 8.5
- SG = Cmcm (63)
- M_tot (μB/f.u.) = 0.0
- E above lowest polymorph (eV/atom) = 0.000

No. 6
VASP calculation (PBE) on crystalline AgRu3W at its relaxed geometry.

Unit cell a=4.6975 b=4.6975 c=4.6975 alpha=90.00 beta=90.00 gamma=90.00
Atoms (fractional coordinates):
Ag (0.0000, 0.0000, 0.0000)
Ru (0.0000, 0.5000, 0.5000)
Ru (0.5000, 0.0000, 0.5000)
Ru (0.5000, 0.5000, 0.0000)
W (0.5000, 0.5000, 0.5000)

Calculated values
- formation energy from the elements (meV/atom) = 1572
- calculated density (Mg/m³) = 9.5
- SG = Pm-3m (221)
- M_tot (μB/f.u.) = 2.5
- E above lowest polymorph (eV/atom) = 0.000

No. 7
VASP calculation (PBE) on crystalline KZrRhS2 at its relaxed geometry.

Unit cell a=4.8105 b=4.8105 c=4.8355 alpha=90.00 beta=90.00 gamma=90.00
Atoms (fractional coordinates):
K (0.0000, 0.0000, 0.0000)
Zr (0.5000, 0.5000, 0.0000)
Rh (0.0000, 0.0000, 0.5000)
S (0.0000, 0.5000, 0.5000)
S (0.5000, 0.0000, 0.5000)

Calculated values
- calculated density (Mg/m³) = 4.4
- SG = P4/mmm (123)
- M_tot (μB/f.u.) = 1.8
- formation energy (no corrections) (kJ per mole of atoms) = 46

No. 8
VASP calculation (PBE) on crystalline Pr8P3PtI4 at its relaxed geometry.

Unit cell a=9.1927 b=9.1927 c=9.1927 alpha=55.63 beta=55.63 gamma=55.63
Atoms (fractional coordinates):
Pr (0.2305, 0.2305, 0.2305)
Pr (0.2314, 0.7311, 0.7311)
Pr (0.2689, 0.2689, 0.7686)
Pr (0.2689, 0.7686, 0.2689)
Pr (0.7311, 0.2314, 0.7311)
Pr (0.7311, 0.7311, 0.2314)
Pr (0.7686, 0.2689, 0.2689)
Pr (0.7695, 0.7695, 0.7695)
P (0.0000, 0.0000, 0.5000)
P (0.0000, 0.5000, 0.0000)
P (0.5000, 0.0000, 0.0000)
Pt (0.5000, 0.5000, 0.5000)
I (0.0000, 0.0000, 0.0000)
I (0.0000, 0.5000, 0.5000)
I (0.5000, 0.0000, 0.5000)
I (0.5000, 0.5000, 0.0000)

Calculated values
- calculated density (Mg/m³) = 6.5
- SG = R-3m (166)
- M_tot (μB/f.u.) = 0.0
- formation energy (no corrections) (kJ per mole of atoms) = -122

No. 9
VASP calculation (PBE) on crystalline TeHF2 at its relaxed geometry.

Unit cell a=6.7202 b=6.7202 c=6.7202 alpha=27.54 beta=27.54 gamma=27.54
Atoms (fractional coordinates):
Te (0.0000, 0.0000, 0.0000)
H (0.5000, 0.5000, 0.5000)
F (0.4406, 0.4406, 0.4406)
F (0.5594, 0.5594, 0.5594)

Calculated values
- calculated density (Mg/m³) = 4.8
- SG = R-3m (166)
- M_tot (μB/f.u.) = 0.0
- E above lowest polymorph (eV/atom) = 0.000

No. 10
VASP calculation (PBE) on crystalline BaTl2Tc at its relaxed geometry.

Unit cell a=5.4168 b=5.4168 c=5.4168 alpha=60.00 beta=60.00 gamma=60.00
Atoms (fractional coordinates):
Ba (0.0000, 0.0000, 0.0000)
Tl (0.2500, 0.2500, 0.2500)
Tl (0.7500, 0.7500, 0.7500)
Tc (0.5000, 0.5000, 0.5000)

Calculated values
- formation energy from the elements (meV/atom) = 550
- calculated density (Mg/m³) = 9.5
- SG = Fm-3m (225)
- M_tot (μB/f.u.) = 2.6
- E above lowest polymorph (eV/atom) = 0.199

No. 11
VASP calculation (PBE) on crystalline TaCl3 at its relaxed geometry.

Unit cell a=9.8762 b=3.1626 c=9.9040 alpha=90.00 beta=119.88 gamma=90.00
Atoms (fractional coordinates):
Ta (0.1664, 0.2500, 0.3327)
Ta (0.8336, 0.7500, 0.6673)
Cl (0.0459, 0.2500, 0.8284)
Cl (0.2169, 0.7500, 0.5446)
Cl (0.3283, 0.7500, 0.2819)
Cl (0.6717, 0.2500, 0.7181)
Cl (0.7831, 0.2500, 0.4554)
Cl (0.9541, 0.7500, 0.1716)

Calculated values
- calculated density (Mg/m³) = 3.6
- SG = P2_1/m (11)
- M_tot (μB/f.u.) = 0.9
- formation energy (no corrections) (kJ per mole of atoms) = -90

No. 12
VASP calculation (PBE) on crystalline Cs2MgPt at its relaxed geometry.

Unit cell a=9.6202 b=9.6202 c=9.6202 alpha=94.00 beta=94.00 gamma=149.38
Atoms (fractional coordinates):
Cs (0.3750, 0.2001, 0.3251)
Cs (0.7999, 0.1250, 0.1749)
Cs (0.8750, 0.0499, 0.6749)
Cs (0.9501, 0.6250, 0.8251)
Mg (0.2500, 0.7500, 0.5000)
Mg (0.5000, 0.5000, 0.0000)
Pt (0.0000, 0.0000, 0.0000)
Pt (0.7500, 0.2500, 0.5000)

Calculated values
- formation energy from the elements (meV/atom) = -56
- calculated density (Mg/m³) = 3.7
- SG = I-42d (122)
- M_tot (μB/f.u.) = 0.0
- E above lowest polymorph (eV/atom) = 0.000